(1)
Here is a relaxed structure of K12Se5Br3 from Alexandria. Energies are from GGA-PBE.

CIF file:
```
data_K12Se5Br3
_space_group_name_H-M_alt 'I a -3 d'
_space_group_IT_number 230
_space_group_name_Hall '-I 4bd 2c 3'
_cell_length_a 19.469
_cell_length_b 19.469
_cell_length_c 19.469
_cell_angle_alpha 90.00
_cell_angle_beta 90.00
_cell_angle_gamma 90.00
loop_
_atom_site_label
_atom_site_fract_x
_atom_site_fract_y
_atom_site_fract_z
K1 0.029 0.067 0.647
Se1 0.000 0.000 0.000
Se2 0.000 0.250 0.375
Br1 0.000 0.250 0.125
```


(2)
Here is a relaxed structure of KSeBr2 from Alexandria. Energies are from GGA-PBE.

CIF file:
```
data_KSeBr2
_space_group_name_H-M_alt 'R -3 m'
_space_group_IT_number 166
_space_group_name_Hall '-R 3 2"'
_cell_length_a 5.1375
_cell_length_b 5.1375
_cell_length_c 24.5618
_cell_angle_alpha 90.00
_cell_angle_beta 90.00
_cell_angle_gamma 120.00
loop_
_atom_site_label
_atom_site_fract_x
_atom_site_fract_y
_atom_site_fract_z
K1 0.0000 0.0000 0.0000
Se1 0.0000 0.0000 0.5000
Br1 0.0000 0.0000 0.3954
```

Results
energy relative to the lowest polymorph listed for this composition: 113.4 meV per atom


(3)
Here is a relaxed structure of KSeBr2 from Alexandria. Energies are from GGA-PBE.

CIF file:
```
data_KSeBr2
_space_group_name_H-M_alt 'R 3 m'
_space_group_IT_number 160
_space_group_name_Hall 'R 3 -2"'
_cell_length_a 4.7874
_cell_length_b 4.7874
_cell_length_c 21.6928
_cell_angle_alpha 90.00
_cell_angle_beta 90.00
_cell_angle_gamma 120.00
loop_
_atom_site_label
_atom_site_fract_x
_atom_site_fract_y
_atom_site_fract_z
K1 0.0000 0.0000 0.0000
Se1 0.0000 0.0000 0.7967
Br1 0.0000 0.0000 0.2673
Br2 0.0000 0.0000 0.4796
```

Results
energy relative to the lowest polymorph listed for this composition: 339.8 meV per atom


(4)
Here is a relaxed structure of KSeBr2 from Alexandria. Energies are from GGA-PBE.

CIF file:
```
data_KSeBr2
_space_group_name_H-M_alt 'C 1 2/m 1'
_space_group_IT_number 12
_cell_length_a 9.185
_cell_length_b 5.241
_cell_length_c 6.099
_cell_angle_alpha 90.00
_cell_angle_beta 100.08
_cell_angle_gamma 90.00
loop_
_space_group_symop_operation_xyz
'x,y,z'
'-x,-y,-z'
'-x,y,-z'
'x,-y,z'
'x+1/2,y+1/2,z'
'-x+1/2,-y+1/2,-z'
'-x+1/2,y+1/2,-z'
'x+1/2,-y+1/2,z'
loop_
_atom_site_label
_atom_site_fract_x
_atom_site_fract_y
_atom_site_fract_z
K1 0.000 0.000 0.000
Se1 0.000 0.500 0.500
Br1 0.194 0.500 0.246
```

Results
energy relative to the lowest polymorph listed for this composition: 89.8 meV per atom


(5)
Here is a relaxed structure of KSeBr2 from Alexandria. Energies are from GGA-PBE.

CIF file:
```
data_KSeBr2
_space_group_name_H-M_alt 'P m m m'
_space_group_IT_number 47
_cell_length_a 4.188
_cell_length_b 4.215
_cell_length_c 7.640
_cell_angle_alpha 90.00
_cell_angle_beta 90.00
_cell_angle_gamma 90.00
loop_
_space_group_symop_operation_xyz
'x,y,z'
'-x,-y,-z'
'-x,-y,z'
'x,y,-z'
'x,-y,-z'
'-x,y,z'
'-x,y,-z'
'x,-y,z'
loop_
_atom_site_label
_atom_site_fract_x
_atom_site_fract_y
_atom_site_fract_z
K1 0.000 0.000 0.000
Se1 0.000 0.500 0.500
Br1 0.500 0.000 0.500
Br2 0.500 0.500 0.000
```

Results
energy relative to the lowest polymorph listed for this composition: 264.5 meV per atom


(6)
Here is a relaxed structure of KSeBr2 from Alexandria. Energies are from GGA-PBE.

CIF file:
```
data_KSeBr2
_space_group_name_H-M_alt 'P 1 m 1'
_space_group_IT_number 6
_cell_length_a 4.654
_cell_length_b 5.289
_cell_length_c 5.647
_cell_angle_alpha 90.00
_cell_angle_beta 99.16
_cell_angle_gamma 90.00
loop_
_space_group_symop_operation_xyz
'x,y,z'
'x,-y,z'
loop_
_atom_site_label
_atom_site_fract_x
_atom_site_fract_y
_atom_site_fract_z
K1 0.000 0.000 0.000
Se1 0.485 0.500 0.435
Br1 0.475 0.500 0.932
Br2 0.586 0.000 0.448
```

Results
energy relative to the lowest polymorph listed for this composition: 0.0 meV per atom


(7)
Here is a relaxed structure of K2SeBr from Alexandria. Energies are from GGA-PBE.

CIF file:
```
data_K2SeBr
_space_group_name_H-M_alt 'P m m m'
_space_group_IT_number 47
_cell_length_a 3.639
_cell_length_b 3.974
_cell_length_c 8.596
_cell_angle_alpha 90.00
_cell_angle_beta 90.00
_cell_angle_gamma 90.00
loop_
_space_group_symop_operation_xyz
'x,y,z'
'-x,-y,-z'
'-x,-y,z'
'x,y,-z'
'x,-y,-z'
'-x,y,z'
'-x,y,-z'
'x,-y,z'
loop_
_atom_site_label
_atom_site_fract_x
_atom_site_fract_y
_atom_site_fract_z
K1 0.000 0.000 0.238
Se1 0.500 0.500 0.500
Br1 0.500 0.500 0.000
```

Results
energy relative to the lowest polymorph listed for this composition: 0.0 meV per atom


(8)
Here is a relaxed structure of K2SeBr from Alexandria. Energies are from GGA-PBE.

CIF file:
```
data_K2SeBr
_space_group_name_H-M_alt 'F -4 3 m'
_space_group_IT_number 216
_space_group_name_Hall 'F -4 2 3'
_cell_length_a 8.055
_cell_length_b 8.055
_cell_length_c 8.055
_cell_angle_alpha 90.00
_cell_angle_beta 90.00
_cell_angle_gamma 90.00
loop_
_atom_site_label
_atom_site_fract_x
_atom_site_fract_y
_atom_site_fract_z
K1 0.000 0.000 0.000
K2 0.250 0.250 0.250
Se1 0.000 0.000 0.500
Br1 0.250 0.250 0.750
```

Results
energy relative to the lowest polymorph listed for this composition: 399.8 meV per atom


(9)
Here is a relaxed structure of KSe4Br from Alexandria. Energies are from GGA-PBE.

CIF file:
```
data_KSe4Br
_space_group_name_H-M_alt 'F -4 3 m'
_space_group_IT_number 216
_space_group_name_Hall 'F -4 2 3'
_cell_length_a 8.390
_cell_length_b 8.390
_cell_length_c 8.390
_cell_angle_alpha 90.00
_cell_angle_beta 90.00
_cell_angle_gamma 90.00
loop_
_atom_site_label
_atom_site_fract_x
_atom_site_fract_y
_atom_site_fract_z
K1 0.000 0.000 0.000
Se1 0.120 0.120 0.620
Br1 0.250 0.250 0.250
```


(10)
Here is a relaxed structure of KSeBr2 from Alexandria. Energies are from GGA-PBE.

CIF file:
```
data_KSeBr2
_space_group_name_H-M_alt 'P 4/m m m'
_space_group_IT_number 123
_space_group_name_Hall '-P 4 2'
_cell_length_a 5.310
_cell_length_b 5.310
_cell_length_c 3.882
_cell_angle_alpha 90.00
_cell_angle_beta 90.00
_cell_angle_gamma 90.00
loop_
_atom_site_label
_atom_site_fract_x
_atom_site_fract_y
_atom_site_fract_z
K1 0.000 0.000 0.000
Se1 0.500 0.500 0.000
Br1 0.000 0.500 0.500
```

Results
energy relative to the lowest polymorph listed for this composition: 338.7 meV per atom


(11)
Here is a relaxed structure of KSeBr2 from Alexandria. Energies are from GGA-PBE.

CIF file:
```
data_KSeBr2
_space_group_name_H-M_alt 'P 4 m m'
_space_group_IT_number 99
_cell_length_a 4.076
_cell_length_b 4.076
_cell_length_c 8.012
_cell_angle_alpha 90.00
_cell_angle_beta 90.00
_cell_angle_gamma 90.00
loop_
_space_group_symop_operation_xyz
'x,y,z'
'-y,x,z'
'-x,-y,z'
'y,-x,z'
'-x,y,z'
'y,x,z'
'x,-y,z'
'-y,-x,z'
loop_
_atom_site_label
_atom_site_fract_x
_atom_site_fract_y
_atom_site_fract_z
K1 0.000 0.000 0.000
Se1 0.500 0.500 0.406
Br1 0.000 0.000 0.426
Br2 0.500 0.500 0.856
```

Results
energy relative to the lowest polymorph listed for this composition: 225.8 meV per atom


(12)
Here is a relaxed structure of K2SeBr from Alexandria. Energies are from GGA-PBE.

CIF file:
```
data_K2SeBr
_space_group_name_H-M_alt 'I -4 2 d'
_space_group_IT_number 122
_space_group_name_Hall 'I -4 2bw'
_cell_length_a 8.854
_cell_length_b 8.854
_cell_length_c 6.859
_cell_angle_alpha 90.00
_cell_angle_beta 90.00
_cell_angle_gamma 90.00
loop_
_atom_site_label
_atom_site_fract_x
_atom_site_fract_y
_atom_site_fract_z
K1 0.249 0.750 0.125
Se1 0.000 0.000 0.000
Br1 0.000 0.000 0.500
```

Results
energy relative to the lowest polymorph listed for this composition: 159.2 meV per atom


Uncorrected formation energy for every record listed, in sequence, given in eV/f.u.: -21.83, -2.56, -1.66, -2.66, -1.96, -3.02, -4.57, -2.98, -0.15, -1.66, -2.11, -3.94.
Size of the total moment for every record listed, in sequence, given in μB/f.u.: 1.38, 1.00, 0.91, 1.03, 0.00, 0.00, 0.00, 1.04, 0.88, 0.00, 0.01, 0.00.